Record 1
Computed, not measured: In7SnHg3 after structural relaxation at the PBE level of DFT.

```
data_In7SnHg3
_cell_length_a 9.5205
_cell_length_b 10.1537
_cell_length_c 6.3963
_cell_angle_alpha 90.00
_cell_angle_beta 94.44
_cell_angle_gamma 90.00
_space_group_name_H-M_alt 'C 1 2/m 1'
_space_group_IT_number 12
loop_
_space_group_symop_operation_xyz
'x,y,z'
'-x,-y,-z'
'-x,y,-z'
'x,-y,z'
'x+1/2,y+1/2,z'
'-x+1/2,-y+1/2,-z'
'-x+1/2,y+1/2,-z'
'x+1/2,-y+1/2,z'
loop_
_atom_site_label
_atom_site_fract_x
_atom_site_fract_y
_atom_site_fract_z
In1 0.0000 0.0000 0.0000
In2 0.2168 0.5000 0.1866
In3 0.2480 0.1711 0.2918
Sn1 0.0000 0.0000 0.5000
Hg1 0.0000 0.3022 0.0000
Hg2 0.0000 0.5000 0.5000
```

Calculated values
The magnetization comes out at 0.000 μB per formula unit. The calculation puts the total energy at -47.03 eV/cell. The value obtained for the formation energy is 51 meV per atom. For the calculated density, the calculation gives 8.21 g/cm³.

***

Record 2
Computed, not measured: Ho2TlCu3 after structural relaxation at the PBE level of DFT.

```
data_Ho2TlCu3
_cell_length_a 6.9826
_cell_length_b 8.9193
_cell_length_c 15.6046
_cell_angle_alpha 90.00
_cell_angle_beta 90.00
_cell_angle_gamma 90.00
_space_group_name_H-M_alt 'F m m m'
_space_group_IT_number 69
_space_group_name_Hall '-F 2 2'
loop_
_atom_site_label
_atom_site_fract_x
_atom_site_fract_y
_atom_site_fract_z
Ho1 0.2384 0.0000 0.0000
Ho2 0.2500 0.2500 0.2500
Tl1 0.0000 0.0000 0.3355
Cu1 0.0000 0.0000 0.1615
Cu2 0.0000 0.2395 0.0796
```

Calculated values
The magnetization comes out at 0.000 μB per formula unit. The calculation puts the total energy at -199.82 eV/cell. The value obtained for the formation energy is -195 meV per atom. For the calculated density, the calculation gives 9.91 g/cm³.

***

Record 3
Computed, not measured: TlBiAs2 after structural relaxation at the PBE level of DFT.

```
data_TlBiAs2
_cell_length_a 6.5260
_cell_length_b 6.5260
_cell_length_c 13.3372
_cell_angle_alpha 90.00
_cell_angle_beta 90.00
_cell_angle_gamma 90.00
_space_group_name_H-M_alt 'I -4 2 d'
_space_group_IT_number 122
_space_group_name_Hall 'I -4 2bw'
loop_
_atom_site_label
_atom_site_fract_x
_atom_site_fract_y
_atom_site_fract_z
Tl1 0.0000 0.0000 0.0000
Bi1 0.0000 0.0000 0.5000
As1 0.2387 0.2500 0.1250
```

Calculated values
The magnetization comes out at 0.000 μB per formula unit. The calculation puts the total energy at -58.90 eV/cell. The value obtained for the formation energy is 206 meV per atom. For the calculated density, the calculation gives 6.59 g/cm³.

***

Record 4
Computed, not measured: NaZnRu3 after structural relaxation at the PBE level of DFT.

```
data_NaZnRu3
_cell_length_a 4.6744
_cell_length_b 4.6744
_cell_length_c 4.6744
_cell_angle_alpha 90.00
_cell_angle_beta 90.00
_cell_angle_gamma 90.00
_space_group_name_H-M_alt 'P m -3 m'
_space_group_IT_number 221
_space_group_name_Hall '-P 4 2 3'
loop_
_atom_site_label
_atom_site_fract_x
_atom_site_fract_y
_atom_site_fract_z
Na1 0.0000 0.0000 0.0000
Zn1 0.5000 0.5000 0.5000
Ru1 0.0000 0.5000 0.5000
```

Calculated values
The magnetization comes out at 5.632 μB per formula unit. The calculation puts the total energy at -22.75 eV/cell. The value obtained for the formation energy is 1533 meV per atom. For the calculated density, the calculation gives 6.37 g/cm³.

***

Record 5
Computed, not measured: ZnCrCu2 after structural relaxation at the PBE level of DFT.

```
data_ZnCrCu2
_cell_length_a 8.7025
_cell_length_b 2.7514
_cell_length_c 4.5186
_cell_angle_alpha 90.00
_cell_angle_beta 101.63
_cell_angle_gamma 90.00
_space_group_name_H-M_alt 'C 1 2/m 1'
_space_group_IT_number 12
loop_
_space_group_symop_operation_xyz
'x,y,z'
'-x,-y,-z'
'-x,y,-z'
'x,-y,z'
'x+1/2,y+1/2,z'
'-x+1/2,-y+1/2,-z'
'-x+1/2,y+1/2,-z'
'x+1/2,-y+1/2,z'
loop_
_atom_site_label
_atom_site_fract_x
_atom_site_fract_y
_atom_site_fract_z
Zn1 0.0000 0.0000 0.0000
Cr1 0.0000 0.5000 0.5000
Cu1 0.2504 0.0000 0.7480
```

Calculated values
The magnetization comes out at 3.270 μB per formula unit. The calculation puts the total energy at -36.54 eV/cell. The value obtained for the formation energy is 205 meV per atom. For the calculated density, the calculation gives 7.66 g/cm³.

***

Record 6
Computed, not measured: Sc2NbHg after structural relaxation at the PBE level of DFT.

```
data_Sc2NbHg
_cell_length_a 3.1274
_cell_length_b 3.1274
_cell_length_c 31.4892
_cell_angle_alpha 90.00
_cell_angle_beta 90.00
_cell_angle_gamma 120.00
_space_group_name_H-M_alt 'R -3 m'
_space_group_IT_number 166
_space_group_name_Hall '-R 3 2"'
loop_
_atom_site_label
_atom_site_fract_x
_atom_site_fract_y
_atom_site_fract_z
Sc1 0.0000 0.0000 0.0879
Nb1 0.0000 0.0000 0.0000
Hg1 0.0000 0.0000 0.5000
```

Calculated values
The magnetization comes out at 1.388 μB per formula unit. The calculation puts the total energy at -65.48 eV/cell. The value obtained for the formation energy is 302 meV per atom. For the calculated density, the calculation gives 7.16 g/cm³.

***

Record 7
Computed, not measured: CsK2PdI after structural relaxation at the PBE level of DFT.

```
data_CsK2PdI
_cell_length_a 6.1611
_cell_length_b 6.1611
_cell_length_c 6.7512
_cell_angle_alpha 90.00
_cell_angle_beta 90.00
_cell_angle_gamma 90.00
_space_group_name_H-M_alt 'P 4/m m m'
_space_group_IT_number 123
_space_group_name_Hall '-P 4 2'
loop_
_atom_site_label
_atom_site_fract_x
_atom_site_fract_y
_atom_site_fract_z
Cs1 0.0000 0.0000 0.0000
K1 0.0000 0.5000 0.5000
Pd1 0.0000 0.0000 0.5000
I1 0.5000 0.5000 0.0000
```

Calculated values
The magnetization comes out at 0.000 μB per formula unit. The calculation puts the total energy at -12.21 eV/cell. The value obtained for the uncorrected formation energy is -2.42 eV/f.u. For the calculated density, the calculation gives 2.88 g/cm³.

***

Record 8
Computed, not measured: Sc2Pd2I after structural relaxation at the PBE level of DFT.

```
data_Sc2Pd2I
_cell_length_a 7.6649
_cell_length_b 7.6649
_cell_length_c 3.5209
_cell_angle_alpha 90.00
_cell_angle_beta 90.00
_cell_angle_gamma 90.00
_space_group_name_H-M_alt 'P 4/m b m'
_space_group_IT_number 127
_space_group_name_Hall '-P 4 2ab'
loop_
_atom_site_label
_atom_site_fract_x
_atom_site_fract_y
_atom_site_fract_z
Sc1 0.1574 0.3426 0.0000
Pd1 0.1293 0.6293 0.5000
I1 0.0000 0.0000 0.5000
```

Calculated values
The magnetization comes out at 0.000 μB per formula unit. The calculation puts the total energy at -55.64 eV/cell. The value obtained for the uncorrected formation energy is -3.22 eV/f.u. For the calculated density, the calculation gives 6.90 g/cm³.

***

Record 9
Computed, not measured: Mg2TeAs after structural relaxation at the PBE level of DFT.

```
data_Mg2TeAs
_cell_length_a 4.1036
_cell_length_b 6.0587
_cell_length_c 7.8059
_cell_angle_alpha 90.00
_cell_angle_beta 90.00
_cell_angle_gamma 90.00
_space_group_name_H-M_alt 'I m m m'
_space_group_IT_number 71
_space_group_name_Hall '-I 2 2'
loop_
_atom_site_label
_atom_site_fract_x
_atom_site_fract_y
_atom_site_fract_z
Mg1 0.0000 0.0000 0.2216
Te1 0.0000 0.5000 0.0000
As1 0.0000 0.5000 0.5000
```

Calculated values
The magnetization comes out at 0.000 μB per formula unit. The calculation puts the total energy at -24.14 eV/cell. The value obtained for the uncorrected formation energy is -1.09 eV/f.u. For the calculated density, the calculation gives 4.30 g/cm³.

***

Record 10
Computed, not measured: HfGaFe2 after structural relaxation at the PBE level of DFT.

```
data_HfGaFe2
_cell_length_a 6.4374
_cell_length_b 3.9582
_cell_length_c 9.2839
_cell_angle_alpha 90.00
_cell_angle_beta 90.00
_cell_angle_gamma 90.00
_space_group_name_H-M_alt 'P n m a'
_space_group_IT_number 62
loop_
_space_group_symop_operation_xyz
'x,y,z'
'-x,-y,-z'
'-x+1/2,-y,z+1/2'
'x+1/2,y,-z+1/2'
'x+1/2,-y+1/2,-z+1/2'
'-x+1/2,y+1/2,z+1/2'
'-x,y+1/2,-z'
'x,-y+1/2,z'
loop_
_atom_site_label
_atom_site_fract_x
_atom_site_fract_y
_atom_site_fract_z
Hf1 0.2379 0.2500 0.1725
Ga1 0.0542 0.7500 0.3677
Fe1 0.0558 0.2500 0.8994
Fe2 0.2413 0.7500 0.9617
```

Calculated values
The magnetization comes out at 3.352 μB per formula unit. The calculation puts the total energy at -123.92 eV/cell. The value obtained for the formation energy is -269 meV per atom. For the calculated density, the calculation gives 10.11 g/cm³.

***

Record 11
Computed, not measured: BaAsAu2O after structural relaxation at the PBE level of DFT.

```
data_BaAsAu2O
_cell_length_a 4.6646
_cell_length_b 4.6646
_cell_length_c 5.2026
_cell_angle_alpha 90.00
_cell_angle_beta 90.00
_cell_angle_gamma 90.00
_space_group_name_H-M_alt 'P 4/m m m'
_space_group_IT_number 123
_space_group_name_Hall '-P 4 2'
loop_
_atom_site_label
_atom_site_fract_x
_atom_site_fract_y
_atom_site_fract_z
Ba1 0.0000 0.0000 0.0000
As1 0.5000 0.5000 0.0000
Au1 0.0000 0.5000 0.5000
O1 0.0000 0.0000 0.5000
```

Calculated values
The magnetization comes out at 0.000 μB per formula unit. The calculation puts the total energy at -19.38 eV/cell. The value obtained for the uncorrected formation energy is -1.29 eV/f.u. For the calculated density, the calculation gives 9.13 g/cm³.

***

Record 12
Computed, not measured: KCaPmCl6 after structural relaxation at the PBE level of DFT.

```
data_KCaPmCl6
_cell_length_a 7.2126
_cell_length_b 7.2126
_cell_length_c 13.4924
_cell_angle_alpha 90.00
_cell_angle_beta 90.00
_cell_angle_gamma 120.00
_space_group_name_H-M_alt 'P -3 1 c'
_space_group_IT_number 163
_space_group_name_Hall '-P 3 2c'
loop_
_atom_site_label
_atom_site_fract_x
_atom_site_fract_y
_atom_site_fract_z
K1 0.0000 0.0000 0.0000
Ca1 0.3333 0.6667 0.2500
Pm1 0.3333 0.6667 0.7500
Cl1 0.0024 0.3694 0.6373
```

Calculated values
The magnetization comes out at 0.000 μB per formula unit. The calculation puts the total energy at -78.84 eV/cell. The value obtained for the uncorrected formation energy is -20.49 eV/f.u. For the calculated density, the calculation gives 2.39 g/cm³.

***

> Which value of magnetization does entry 2 give?

0.000 μB per formula unit

***

> The lowest calculated density belongs to which entry?

KCaPmCl6